VASP calculation (PBE) on FeCo5Ni2 after structural relaxation. Values from VASP.

Geometry as Quantum ESPRESSO input:
```
&SYSTEM
  ibrav = 0, nat = 8, ntyp = 3
/
ATOMIC_SPECIES
Ni 58.69 Ni.upf
Fe 55.84 Fe.upf
Co 58.93 Co.upf
CELL_PARAMETERS angstrom
3.3912 0.0000 -0.9560
-0.2695 3.3805 -0.9560
0.2897 0.3137 7.5205
ATOMIC_POSITIONS crystal
Ni 0.7500 0.7500 0.5000
Ni 0.2500 0.2500 0.5000
Fe 0.5000 0.5000 0.0000
Co 0.8745 0.3745 0.7489
Co 0.6255 0.1255 0.2511
Co 0.1255 0.6255 0.2511
Co 0.3745 0.8745 0.7489
Co 0.0000 0.0000 0.0000
```

Results
Calculated density (g cm⁻³): 8.80
Crystal system: tetragonal
Formation energy from the elements (eV/atom): 0.01
DOS at the Fermi energy (states/eV per cell): 9.41
Total energy (eV per cell): -55.47